Record 1
Entry from Alexandria via LeMat-Bulk: a geometry-optimized LaPrBiTe structure (GGA-PBE).

Unit cell a=5.6292 b=5.6292 c=5.6292 alpha=60.00 beta=60.00 gamma=60.00
Sites, in units of the cell vectors:
La: 0.0000 0.0000 0.0000
Pr: 0.5000 0.5000 0.5000
Bi: 0.2500 0.2500 0.2500
Te: 0.7500 0.7500 0.7500

Output
raw formation energy	-1.083	eV per atom
symmetry	No. 216

Record 2
Entry from Alexandria via LeMat-Bulk: a geometry-optimized Ho3Er4Sc structure (GGA-PBE).

Unit cell a=11.0261 b=7.1275 c=6.1570 alpha=90.00 beta=90.00 gamma=90.00
Sites, in units of the cell vectors:
Ho: 0.0000 0.1243 0.0000
Ho: 0.2498 0.1233 0.3317
Ho: 0.2502 0.8767 0.8317
Ho: 0.5000 0.8757 0.5000
Ho: 0.7502 0.1233 0.3317
Ho: 0.7498 0.8767 0.8317
Er: 0.0000 0.3736 0.5033
Er: 0.0000 0.6257 0.9980
Er: 0.2462 0.6266 0.3359
Er: 0.2538 0.3734 0.8359
Er: 0.5000 0.3743 0.4980
Er: 0.5000 0.6264 0.0033
Er: 0.7462 0.3734 0.8359
Er: 0.7538 0.6266 0.3359
Sc: 0.0000 0.8754 0.4992
Sc: 0.5000 0.1246 0.9992

Output
excess energy over the best structure of this formula in the dataset	0	meV per atom
symmetry	No. 31
ΔH_f (0 K)	8	meV/atom

Record 3
Entry from Alexandria via LeMat-Bulk: a geometry-optimized Ag3SbTe4 structure (GGA-PBE).

Unit cell a=5.9949 b=5.9949 c=5.9949 alpha=90.00 beta=90.00 gamma=90.00
Sites, in units of the cell vectors:
Ag: 0.0000 0.0000 0.5000
Ag: 0.0000 0.5000 0.0000
Ag: 0.5000 0.0000 0.0000
Sb: 0.0000 0.0000 0.0000
Te: 0.0000 0.5000 0.5000
Te: 0.5000 0.0000 0.5000
Te: 0.5000 0.5000 0.0000
Te: 0.5000 0.5000 0.5000

Output
raw formation energy	0.117	eV per atom
excess energy over the best structure of this formula in the dataset	162	meV per atom
symmetry	No. 221

Record 4
Entry from Alexandria via LeMat-Bulk: a geometry-optimized TlCrBr3 structure (GGA-PBE).

Unit cell a=8.2134 b=8.2134 c=10.5527 alpha=90.33 beta=90.33 gamma=86.71
Sites, in units of the cell vectors:
Tl: 0.0323 0.9677 0.7500
Tl: 0.4372 0.5628 0.7500
Tl: 0.5628 0.4372 0.2500
Tl: 0.9677 0.0323 0.2500
Cr: 0.0296 0.3944 0.0174
Cr: 0.3944 0.0296 0.5174
Cr: 0.6056 0.9704 0.4826
Cr: 0.9704 0.6056 0.9826
Br: 0.0116 0.5615 0.7590
Br: 0.1821 0.7886 0.0260
Br: 0.2114 0.8179 0.4740
Br: 0.3161 0.3306 0.0023
Br: 0.3306 0.3161 0.5023
Br: 0.4385 0.9884 0.7410
Br: 0.5615 0.0116 0.2590
Br: 0.6694 0.6839 0.4977
Br: 0.6839 0.6694 0.9977
Br: 0.7886 0.1821 0.5260
Br: 0.8179 0.2114 0.9740
Br: 0.9884 0.4385 0.2410

Output
raw formation energy	-0.590	eV per atom
excess energy over the best structure of this formula in the dataset	110	meV per atom
symmetry	No. 15

Record 5
Entry from Alexandria via LeMat-Bulk: a geometry-optimized Rb2SrRhBr6 structure (GGA-PBE).

Unit cell a=7.8891 b=7.8891 c=7.8891 alpha=119.34 beta=119.34 gamma=91.15
Sites, in units of the cell vectors:
Rb: 0.2500 0.7500 0.5000
Rb: 0.7500 0.2500 0.5000
Sr: 0.0000 0.0000 0.0000
Rh: 0.5000 0.5000 0.0000
Br: 0.2650 0.2650 0.5301
Br: 0.2650 0.7350 0.0000
Br: 0.2710 0.2710 0.0000
Br: 0.7290 0.7290 0.0000
Br: 0.7350 0.2650 0.0000
Br: 0.7350 0.7350 0.4699

Output
raw formation energy	-1.311	eV per atom
symmetry	No. 139

Record 6
Entry from Alexandria via LeMat-Bulk: a geometry-optimized Mg2InHg2 structure (GGA-PBE).

Unit cell a=4.9796 b=4.9796 c=5.8287 alpha=90.00 beta=90.00 gamma=120.00
Sites, in units of the cell vectors:
Mg: 0.3333 0.6667 0.1773
Mg: 0.6667 0.3333 0.8227
In: 0.0000 0.0000 0.0000
Hg: 0.3333 0.6667 0.6691
Hg: 0.6667 0.3333 0.3309

Output
excess energy over the best structure of this formula in the dataset	63	meV per atom
symmetry	No. 164
ΔH_f (0 K)	-64	meV/atom

Record 7
Entry from Alexandria via LeMat-Bulk: a geometry-optimized SrHgMo3 structure (GGA-PBE).

Unit cell a=5.0881 b=5.0881 c=5.0881 alpha=90.00 beta=90.00 gamma=90.00
Sites, in units of the cell vectors:
Sr: 0.0000 0.0000 0.0000
Hg: 0.5000 0.5000 0.5000
Mo: 0.0000 0.5000 0.5000
Mo: 0.5000 0.0000 0.5000
Mo: 0.5000 0.5000 0.0000

Output
excess energy over the best structure of this formula in the dataset	0	meV per atom
symmetry	No. 221
ΔH_f (0 K)	2187	meV/atom

Record 8
Entry from Alexandria via LeMat-Bulk: a geometry-optimized LaPr5Sm2Ho structure (GGA-PBE).

Unit cell a=10.0865 b=10.0865 c=10.0865 alpha=126.27 beta=126.27 gamma=79.44
Sites, in units of the cell vectors:
La: 0.2500 0.2500 0.0000
La: 0.7500 0.7500 0.0000
Pr: 0.0000 0.0000 0.0000
Pr: 0.0701 0.5701 0.9133
Pr: 0.1568 0.0701 0.5000
Pr: 0.3432 0.8432 0.9133
Pr: 0.4299 0.3432 0.5000
Pr: 0.5000 0.5000 0.0000
Pr: 0.5701 0.6568 0.5000
Pr: 0.6568 0.1568 0.0867
Pr: 0.8432 0.9299 0.5000
Pr: 0.9299 0.4299 0.0867
Sm: 0.1144 0.3856 0.5000
Sm: 0.3856 0.8856 0.2712
Sm: 0.6144 0.1144 0.7288
Sm: 0.8856 0.6144 0.5000
Ho: 0.2500 0.7500 0.5000
Ho: 0.7500 0.2500 0.5000

Output
symmetry	No. 140
ΔH_f (0 K)	272	meV/atom

Record 9
Entry from Alexandria via LeMat-Bulk: a geometry-optimized Te2IrBr structure (GGA-PBE).

Unit cell a=6.6085 b=6.6085 c=6.6085 alpha=151.39 beta=133.01 gamma=55.94
Sites, in units of the cell vectors:
Te: 0.1837 0.1837 0.0000
Te: 0.8163 0.8163 0.0000
Ir: 0.0000 0.5000 0.5000
Br: 0.5000 0.0000 0.5000

Output
raw formation energy	0.348	eV per atom
excess energy over the best structure of this formula in the dataset	612	meV per atom
symmetry	No. 71

Record 10
Entry from Alexandria via LeMat-Bulk: a geometry-optimized Nd5Ag4Pb structure (GGA-PBE).

Unit cell a=3.6959 b=3.6959 c=19.9552 alpha=90.00 beta=90.00 gamma=90.00
Sites, in units of the cell vectors:
Nd: 0.0000 0.0000 0.0000
Nd: 0.0000 0.0000 0.1933
Nd: 0.0000 0.0000 0.3879
Nd: 0.0000 0.0000 0.6121
Nd: 0.0000 0.0000 0.8067
Ag: 0.5000 0.5000 0.0976
Ag: 0.5000 0.5000 0.2878
Ag: 0.5000 0.5000 0.7122
Ag: 0.5000 0.5000 0.9024
Pb: 0.5000 0.5000 0.5000

Output
symmetry	No. 123
ΔH_f (0 K)	-304	meV/atom

Record 11
Entry from Alexandria via LeMat-Bulk: a geometry-optimized SrAcLaNd structure (GGA-PBE).

Unit cell a=6.1861 b=6.1861 c=6.1861 alpha=60.00 beta=60.00 gamma=60.00
Sites, in units of the cell vectors:
Sr: 0.0000 0.0000 0.0000
Ac: 0.5000 0.5000 0.5000
La: 0.7500 0.7500 0.7500
Nd: 0.2500 0.2500 0.2500

Output
symmetry	No. 216
ΔH_f (0 K)	185	meV/atom

Record 12
Entry from Alexandria via LeMat-Bulk: a geometry-optimized KCr2Tc structure (GGA-PBE).

Unit cell a=8.4675 b=8.4675 c=8.4675 alpha=140.19 beta=140.19 gamma=57.57
Sites, in units of the cell vectors:
K: 0.3750 0.6250 0.7500
K: 0.6250 0.3750 0.2500
Cr: 0.0000 0.0000 0.0000
Cr: 0.0000 0.0000 0.5000
Cr: 0.0000 0.5000 0.0000
Cr: 0.5000 0.0000 0.5000
Tc: 0.1250 0.8750 0.2500
Tc: 0.8750 0.1250 0.7500

Output
excess energy over the best structure of this formula in the dataset	620	meV per atom
symmetry	No. 141
ΔH_f (0 K)	1408	meV/atom

What did the second record say?
Entry from Alexandria via LeMat-Bulk: a geometry-optimized Ho3Er4Sc structure (GGA-PBE).

Unit cell a=11.0261 b=7.1275 c=6.1570 alpha=90.00 beta=90.00 gamma=90.00
Sites, in units of the cell vectors:
Ho: 0.0000 0.1243 0.0000
Ho: 0.2498 0.1233 0.3317
Ho: 0.2502 0.8767 0.8317
Ho: 0.5000 0.8757 0.5000
Ho: 0.7502 0.1233 0.3317
Ho: 0.7498 0.8767 0.8317
Er: 0.0000 0.3736 0.5033
Er: 0.0000 0.6257 0.9980
Er: 0.2462 0.6266 0.3359
Er: 0.2538 0.3734 0.8359
Er: 0.5000 0.3743 0.4980
Er: 0.5000 0.6264 0.0033
Er: 0.7462 0.3734 0.8359
Er: 0.7538 0.6266 0.3359
Sc: 0.0000 0.8754 0.4992
Sc: 0.5000 0.1246 0.9992

Output
excess energy over the best structure of this formula in the dataset	0	meV per atom
symmetry	No. 31
ΔH_f (0 K)	8	meV/atom